(1)
A relaxed structure of ZrMnPt2. Source: Alexandria, functional PBE.

Computed properties:
DFT total energy: -32.57 eV for the cell shown

Lattice parameters (Å, degrees): 4.6011 4.6011 4.6011 60.00 60.00 60.00
Last column: nearest neighbours and their distance in Å.
Fractional positions:
Zr 0.0000 0.0000 0.0000  8 Pt 2.82
Mn 0.5000 0.5000 0.5000  8 Pt 2.82
Pt 0.2500 0.2500 0.2500  4 Zr 2.82, 4 Mn 2.82
Pt 0.7500 0.7500 0.7500  4 Zr 2.82, 4 Mn 2.82

***

(2)
A relaxed structure of LaPrAlPb. Source: Alexandria, functional PBE.

Computed properties:
DFT total energy: -18.69 eV for the cell shown

Lattice parameters (Å, degrees): 5.5187 5.5187 5.5187 60.00 60.00 60.00
Last column: nearest neighbours and their distance in Å.
Fractional positions:
La 0.0000 0.0000 0.0000  4 Al 3.38, 4 Pb 3.38
Pr 0.5000 0.5000 0.5000  4 Pb 3.38, 4 Al 3.38
Al 0.7500 0.7500 0.7500  4 La 3.38, 4 Pr 3.38
Pb 0.2500 0.2500 0.2500  4 La 3.38, 4 Pr 3.38